Below is crystalline NaBeO2 at its relaxed geometry, with properties calculated at the PBE level.

Structure (POSCAR):
```
NaBeO2
1.0
2.9627 -6.9840 0.0000
2.9627 6.9840 0.0000
-2.2219 0.0000 3.7912
Na Be O
4 4 8
Cartesian
1.2963 6.0176 2.8434
2.4072 4.3123 0.9478
1.2963 -4.3123 2.8434
2.4072 -6.0176 0.9478
1.2963 2.0306 2.8434
2.4072 0.1986 0.9478
1.2963 -0.1986 2.8434
2.4072 -2.0306 0.9478
0.7692 2.9182 1.5948
0.0809 0.9228 3.2818
1.1919 -0.9228 1.3863
-0.3418 -2.9182 3.4904
4.0453 2.9182 0.3008
2.5116 0.9228 2.4049
3.6226 -0.9228 0.5093
2.9343 -2.9182 2.1963
```

Output
- Space-group type: No. 15
- Crystal system: monoclinic
- Raw formation energy: -1845 meV/atom
- Magnetic moment: 0.0 μB/cell